The following is a DFT calculation (PBE) of an optimized crystal structure of ZrTl3.

Summary:
Calculated formation energy: 0.084 eV per atom
Total moment: 0.0 Bohr magnetons per cell

a b c (Å): 3.4232 3.4232 31.3310
angles (deg): 90.00 90.00 120.00
Space group R-3m (No. 166, hexagonal axes)
Symmetry-distinct sites (fractional):
Zr  0.0000  0.0000  0.0000 (multiplicity 3)
Tl  0.0000  0.0000  0.2546 (multiplicity 6)
Tl  0.0000  0.0000  0.5000 (multiplicity 3)